Density functional theory data (PBE) for a geometry-optimized Zn4InAu7 structure.

```
12
Lattice="-2.300 4.634 -0.633 -6.392 0.554 5.822 2.057 4.423 3.446" Properties=species:S:1:pos:R:3 pbc="T T T"
Zn -2.399 2.053 2.285
Zn -5.078 4.111 5.630
Zn -1.557 5.500 3.005
Zn -4.237 7.559 6.349
Au -2.691 5.271 5.446
Au -3.945 4.340 3.189
Au -6.548 6.440 6.558
Au -0.087 3.172 2.077
Au -1.150 2.317 -0.317
Au -3.866 1.627 4.494
Au -2.770 7.985 4.141
In 0.000 0.000 0.000
```

Summary:
energy	-31.5	eV for the cell shown
energy of formation	-0.064	eV per atom
size of the total moment	0.00	μB per cell
volume	231	Å³/f.u.

Density functional theory data (PBE) for a geometry-optimized Cs2LiIrF6 structure.

```
20
Lattice="-1.253 4.490 -4.025 -1.252 -4.215 -4.312 -8.316 -0.083 2.497" Properties=species:S:1:pos:R:3 pbc="T T T"
F -5.097 -0.915 -1.910
F -7.075 1.128 -1.250
F -2.192 -0.732 -7.324
F -3.121 1.168 -2.437
F -5.692 1.215 -3.819
F -7.278 -3.223 -1.329
F -1.598 1.263 -5.281
F -2.916 -3.180 -2.639
F -1.532 -3.094 -5.208
F -4.505 1.082 0.132
F -0.940 -1.097 -3.166
F -5.099 3.210 -1.776
Ir -5.098 1.148 -1.843
Ir -0.939 -3.160 -3.232
Li -0.941 1.188 -3.093
Li -5.096 -3.200 -1.983
Cs -6.551 -1.115 0.796
Cs -3.646 -0.938 -4.623
Cs -7.802 -0.980 -3.375
Cs -2.391 -1.074 -0.453
```

Summary:
energy	-92.7	eV for the cell shown
size of the total moment	0.35	μB per cell
raw formation energy	-2264	meV per atom
volume	165	Å³/f.u.

Density functional theory data (PBE) for a geometry-optimized ReTeF structure.

```
3
Lattice="-2.798 -0.073 1.714 -0.290 -3.212 -0.610 3.045 -1.210 4.919" Properties=species:S:1:pos:R:3 pbc="T T T"
Te 2.873 -1.142 4.641
Re -0.994 -1.861 1.441
F 0.010 -2.260 3.063
```

Summary:
energy relative to the lowest polymorph listed for this composition	202	meV/atom
energy	-18.1	eV for the cell shown
size of the total moment	1.29	μB per cell
raw formation energy	-227	meV per atom
volume	64	Å³/f.u.

Density functional theory data (PBE) for a geometry-optimized Dy5HoErTh2 structure.

```
18
Lattice="-4.041 2.664 7.224 -2.458 -8.178 1.641 9.789 1.610 -0.352" Properties=species:S:1:pos:R:3 pbc="T T T"
Dy -0.764 -5.578 3.844
Dy -2.974 -4.875 7.582
Dy 0.000 0.000 0.000
Dy 3.136 -2.619 4.935
Dy 5.345 -3.323 1.197
Dy 4.055 1.674 4.669
Dy 6.264 0.971 0.931
Dy -2.055 -0.581 7.317
Dy 0.154 -1.285 3.579
Dy -3.250 -2.757 4.432
Ho 0.020 -3.331 6.473
Ho 3.270 -0.574 2.040
Th -2.800 0.671 4.675
Th -1.419 -2.789 1.490
Th -3.699 -6.185 4.190
Th -5.080 -2.725 7.375
Er 2.041 -4.663 2.861
Er 1.250 0.758 5.653
```

Summary:
energy	-87.7	eV for the cell shown
energy of formation	0.347	eV per atom
size of the total moment	0.00	μB per cell
volume	295	Å³/f.u.

Density functional theory data (PBE) for a geometry-optimized SiNiTe2 structure.

```
4
Lattice="7.132 0.019 0.011 6.102 3.692 0.011 6.102 1.711 3.272" Properties=species:S:1:pos:R:3 pbc="T T T"
Te 4.264 1.195 0.726
Te 0.367 0.103 0.062
Ni 9.483 2.659 1.616
Si 14.893 4.176 2.537
```

Summary:
energy	-17.4	eV for the cell shown
size of the total moment	0.00	μB per cell
raw formation energy	32	meV per atom
volume	86	Å³/f.u.

Density functional theory data (PBE) for a geometry-optimized TaTiAg2 structure.

```
4
Lattice="0.230 -0.057 4.642 -1.987 3.401 2.467 -3.817 -0.871 2.505" Properties=species:S:1:pos:R:3 pbc="T T T"
Ag -1.393 0.618 2.404
Ag -4.180 1.855 7.211
Ta -2.787 1.237 4.807
Ti 0.000 0.000 0.000
```

Summary:
energy relative to the lowest polymorph listed for this composition	0	meV/atom
energy	-23.7	eV for the cell shown
energy of formation	0.431	eV per atom
size of the total moment	0.00	μB per cell
volume	71	Å³/f.u.